Entry 1:
The following is a PBE calculation of an optimized crystal structure of Li3MgGa6, from the Alexandria database.

Computed properties:
symmetry	Cmc2_1 (36)

Structure (POSCAR):
```
Li3MgGa6
1.0
4.109 -6.692 0.000
4.109 6.692 0.000
0.000 0.000 6.806
Li Mg Ga
6 2 12
direct
0.034 0.966 0.500
0.275 0.350 0.688
0.350 0.275 0.188
0.650 0.725 0.688
0.725 0.650 0.188
0.966 0.034 0.000
0.195 0.805 0.165
0.805 0.195 0.665
0.031 0.411 0.978
0.052 0.301 0.340
0.299 0.701 0.763
0.301 0.052 0.840
0.374 0.626 0.395
0.411 0.031 0.478
0.589 0.969 0.978
0.626 0.374 0.895
0.699 0.948 0.340
0.701 0.299 0.263
0.948 0.699 0.840
0.969 0.589 0.478
```

=====

Entry 2:
The following is a PBE calculation of an optimized crystal structure of LiMg7Ga4, from the Alexandria database.

Computed properties:
symmetry	C2/m (12)

Structure (POSCAR):
```
LiMg7Ga4
1.0
6.402 -2.484 0.000
6.402 2.484 0.000
-6.207 0.000 8.085
Li Mg Ga
1 7 4
direct
0.000 0.000 0.000
0.078 0.078 0.352
0.217 0.217 0.874
0.342 0.342 0.400
0.500 0.500 0.000
0.658 0.658 0.600
0.783 0.783 0.126
0.922 0.922 0.648
0.306 0.306 0.674
0.437 0.437 0.219
0.563 0.563 0.781
0.694 0.694 0.326
```

=====

| no. | energy of formation from the pure elements (eV/atom) | V (Å³/cell) |
| --- | --- | --- |
| 1 | -0.1544 | 374 |
| 2 | -0.0252 | 257 |